No. 1
The following is a PBE calculation of a geometry-optimized SrTl3Te2O9 structure, from Alexandria via LeMat-Bulk.

Cell: 5.895 5.895 7.742 Å, 90.00 90.00 120.00°
Atoms (fractional coordinates):
Tl (0.333, 0.667, 0.674)
O (0.826, 0.652, 0.719)
O (0.500, 0.500, 0.000)
Tl (0.667, 0.333, 0.326)
Sr (0.000, 0.000, 0.500)
O (0.826, 0.174, 0.719)
Te (0.667, 0.333, 0.845)
O (0.348, 0.174, 0.719)
O (0.174, 0.348, 0.281)
Tl (0.000, 0.000, 0.000)
O (0.000, 0.500, 0.000)
Te (0.333, 0.667, 0.155)
O (0.652, 0.826, 0.281)
O (0.174, 0.826, 0.281)
O (0.500, 0.000, 0.000)

Calculated values
The value obtained for the uncorrected energy is -75.6 eV/cell. As for the density of states at the Fermi level: 2.3 states/eV/cell.



No. 2
The following is a PBE calculation of a geometry-optimized Rb2Se2Cl7 structure, from Alexandria via LeMat-Bulk.

Cell: 7.463 7.361 7.361 Å, 97.95 92.76 92.76°
Atoms (fractional coordinates):
Cl (0.500, 0.000, 0.000)
Se (0.505, 0.258, 0.258)
Rb (0.000, 0.744, 0.256)
Cl (0.175, 0.727, 0.727)
Cl (0.825, 0.273, 0.273)
Cl (0.727, 0.897, 0.578)
Cl (0.273, 0.422, 0.103)
Se (0.495, 0.742, 0.742)
Rb (0.000, 0.256, 0.744)
Cl (0.273, 0.103, 0.422)
Cl (0.727, 0.578, 0.897)

Calculated values
The value obtained for the uncorrected energy is -30.1 eV/cell. As for the density of states at the Fermi level: 4.5 states/eV/cell.



No. 3
The following is a PBE calculation of a geometry-optimized Tl4Si5 structure, from Alexandria via LeMat-Bulk.

Cell: 9.189 9.189 5.654 Å, 90.00 90.00 120.00°
Atoms (fractional coordinates):
Tl (0.691, 0.000, 0.750)
Si (0.000, 0.391, 0.750)
Tl (0.309, 0.000, 0.250)
Si (0.333, 0.667, 0.000)
Tl (0.000, 0.000, 0.000)
Tl (0.309, 0.309, 0.750)
Si (0.609, 0.609, 0.750)
Si (0.391, 0.391, 0.250)
Si (0.333, 0.667, 0.500)
Si (0.667, 0.333, 0.000)
Si (0.000, 0.609, 0.250)
Tl (0.000, 0.309, 0.250)
Tl (0.000, 0.000, 0.500)
Si (0.667, 0.333, 0.500)
Tl (0.691, 0.691, 0.250)
Tl (0.000, 0.691, 0.750)
Si (0.609, 0.000, 0.250)
Si (0.391, 0.000, 0.750)

Calculated values
The value obtained for the uncorrected energy is -60.6 eV/cell. As for the density of states at the Fermi level: 7.4 states/eV/cell.



No. 4
The following is a PBE calculation of a geometry-optimized LiTbAu6 structure, from Alexandria via LeMat-Bulk.

Cell: 5.606 5.606 5.606 Å, 88.46 88.46 88.46°
Atoms (fractional coordinates):
Au (0.527, 0.170, 0.170)
Tb (0.000, 0.000, 0.000)
Au (0.170, 0.170, 0.527)
Au (0.473, 0.830, 0.830)
Au (0.830, 0.473, 0.830)
Au (0.170, 0.527, 0.170)
Li (0.500, 0.500, 0.500)
Au (0.830, 0.830, 0.473)

Calculated values
The value obtained for the uncorrected energy is -28.4 eV/cell. The calculation puts the formation enthalpy at 0 K at -211 kJ/mol of formula units. The polymorph energy (0 for the lowest one) is 225 meV/atom. As for the density of states at the Fermi level: 1.6 states/eV/cell.



No. 5
The following is a PBE calculation of a geometry-optimized CaTm4Ag5 structure, from Alexandria via LeMat-Bulk.

Cell: 3.578 3.578 18.363 Å, 90.00 90.00 90.00°
Atoms (fractional coordinates):
Tm (0.000, 0.000, 0.797)
Ag (0.500, 0.500, 0.500)
Ag (0.500, 0.500, 0.698)
Ca (0.000, 0.000, 0.000)
Ag (0.500, 0.500, 0.302)
Tm (0.000, 0.000, 0.401)
Ag (0.500, 0.500, 0.111)
Tm (0.000, 0.000, 0.203)
Ag (0.500, 0.500, 0.889)
Tm (0.000, 0.000, 0.599)

Calculated values
The value obtained for the uncorrected energy is -37.5 eV/cell. The calculation puts the formation enthalpy at 0 K at -324 kJ/mol of formula units. As for the density of states at the Fermi level: 4.2 states/eV/cell.



No. 6
The following is a PBE calculation of a geometry-optimized As2HSeF structure, from Alexandria via LeMat-Bulk.

Cell: 4.256 4.256 4.039 Å, 90.00 90.00 90.00°
Atoms (fractional coordinates):
As (0.000, 0.500, 0.000)
H (0.000, 0.000, 0.000)
As (0.500, 0.000, 0.000)
F (0.500, 0.500, 0.500)
Se (0.000, 0.000, 0.500)

Calculated values
The value obtained for the uncorrected energy is -16.8 eV/cell. The polymorph energy (0 for the lowest one) is 0 meV/atom. As for the density of states at the Fermi level: 2.7 states/eV/cell.



No. 7
The following is a PBE calculation of a geometry-optimized Hf11Zn9Pt4 structure, from Alexandria via LeMat-Bulk.

Cell: 3.328 12.020 12.020 Å, 113.68 90.00 90.00°
Atoms (fractional coordinates):
Hf (0.000, 0.642, 0.358)
Hf (0.000, 0.166, 0.834)
Pt (0.500, 0.444, 0.247)
Hf (0.000, 0.592, 0.940)
Hf (0.000, 0.408, 0.060)
Zn (0.500, 0.947, 0.794)
Hf (0.000, 0.358, 0.642)
Hf (0.000, 0.834, 0.166)
Hf (0.000, 0.940, 0.592)
Pt (0.500, 0.247, 0.444)
Pt (0.500, 0.753, 0.556)
Zn (0.500, 0.053, 0.206)
Hf (0.000, 0.060, 0.408)
Zn (0.500, 0.500, 0.500)
Zn (0.500, 0.153, 0.631)
Hf (0.000, 0.274, 0.274)
Zn (0.500, 0.206, 0.053)
Zn (0.500, 0.847, 0.369)
Pt (0.500, 0.556, 0.753)
Zn (0.500, 0.794, 0.947)
Hf (0.000, 0.000, 0.000)
Zn (0.500, 0.369, 0.847)
Zn (0.500, 0.631, 0.153)
Hf (0.000, 0.726, 0.726)

Calculated values
The value obtained for the uncorrected energy is -156.8 eV/cell. The calculation puts the formation enthalpy at 0 K at -1126 kJ/mol of formula units. As for the density of states at the Fermi level: 14.7 states/eV/cell.



No. 8
The following is a PBE calculation of a geometry-optimized Ba4TlI2Br structure, from Alexandria via LeMat-Bulk.

Cell: 4.827 9.011 8.657 Å, 71.94 90.00 90.00°
Atoms (fractional coordinates):
Ba (0.500, 0.269, 0.739)
Br (0.500, 0.500, 0.000)
I (0.000, 0.000, 0.000)
Ba (0.000, 0.274, 0.251)
Tl (0.000, 0.500, 0.500)
I (0.500, 0.000, 0.500)
Ba (0.000, 0.726, 0.749)
Ba (0.500, 0.731, 0.261)

Calculated values
The value obtained for the uncorrected energy is -24.3 eV/cell. As for the density of states at the Fermi level: 3.7 states/eV/cell.



No. 9
The following is a PBE calculation of a geometry-optimized Pu2Hg3Bi3 structure, from Alexandria via LeMat-Bulk.

Cell: 5.041 4.748 9.095 Å, 90.00 90.00 90.00°
Atoms (fractional coordinates):
Hg (0.500, 0.500, 0.759)
Bi (0.500, 0.000, 0.500)
Pu (0.000, 0.000, 0.751)
Pu (0.000, 0.000, 0.249)
Hg (0.500, 0.000, 0.000)
Hg (0.500, 0.500, 0.241)
Bi (0.000, 0.500, 0.000)
Bi (0.000, 0.500, 0.500)

Calculated values
The value obtained for the uncorrected energy is -43.1 eV/cell. The calculation puts the formation enthalpy at 0 K at -179 kJ/mol of formula units. As for the density of states at the Fermi level: 24.5 states/eV/cell.



The highest uncorrected energy belongs to which entry?
As2HSeF